1.
BiAsAu3 after structural relaxation. Source: Alexandria, functional PBE.

- energy of formation (eV/atom) = 0.950
- offset from the most stable computed form (meV per atom) = 563.4
- space-group type = Pm-3m (221)

abc: 5.409 5.409 5.409
angles: 90.00 90.00 90.00
Element x y z (fractional)
Bi: 0.000 0.000 0.000
As: 0.500 0.500 0.500
Au: 0.000 0.000 0.500
Au: 0.000 0.500 0.000
Au: 0.500 0.000 0.000

2.
Bi3AsAu after structural relaxation. Source: Alexandria, functional PBE.

- energy of formation (eV/atom) = 0.715
- offset from the most stable computed form (meV per atom) = 15.8
- space-group type = Pm-3m (221)

abc: 5.523 5.523 5.523
angles: 90.00 90.00 90.00
Element x y z (fractional)
Bi: 0.000 0.000 0.500
Bi: 0.000 0.500 0.000
Bi: 0.500 0.000 0.000
As: 0.000 0.000 0.000
Au: 0.500 0.500 0.500